Entry 1:
Computed, not measured: a relaxed structure of BeTe2Au at the GGA-PBEsol level of DFT.

Computed properties:
Mass density (Mg/m³): 8.96
Energy (Ry per atom): -0.2714

Structure (CIF):
```
data_BeTe2Au
_chemical_formula_sum 'Be2 Te4 Au2'
_space_group_name_H-M_alt 'C 1 2/m 1'
_space_group_IT_number 12
_cell_length_a 7.0904
_cell_length_b 3.7938
_cell_length_c 6.7256
_cell_angle_alpha 90.00
_cell_angle_beta 109.09
_cell_angle_gamma 90.00
loop_
_space_group_symop_operation_xyz
'x,y,z'
'-x,-y,-z'
'-x,y,-z'
'x,-y,z'
'x+1/2,y+1/2,z'
'-x+1/2,-y+1/2,-z'
'-x+1/2,y+1/2,-z'
'x+1/2,-y+1/2,z'
loop_
_atom_site_label
_atom_site_type_symbol
_atom_site_fract_x
_atom_site_fract_y
_atom_site_fract_z
Be1 Be 0.0000 0.0000 0.0000
Te1 Te 0.2053 0.5000 0.2243
Au1 Au 0.0000 0.5000 0.5000
```

---

Entry 2:
Computed, not measured: a relaxed structure of Be2TeAu2 at the GGA-PBEsol level of DFT.

Computed properties:
Mass density (Mg/m³): 11.07
Energy (Ry per atom): -0.2896

Structure (CIF):
```
data_Be2TeAu2
_chemical_formula_sum 'Be4 Te2 Au4'
_space_group_name_H-M_alt 'I 4/m m m'
_space_group_IT_number 139
_space_group_name_Hall '-I 4 2'
_cell_length_a 3.6379
_cell_length_b 3.6379
_cell_length_c 12.2322
_cell_angle_alpha 90.00
_cell_angle_beta 90.00
_cell_angle_gamma 90.00
loop_
_atom_site_label
_atom_site_type_symbol
_atom_site_fract_x
_atom_site_fract_y
_atom_site_fract_z
Be1 Be 0.0000 0.5000 0.2500
Te1 Te 0.0000 0.0000 0.0000
Au1 Au 0.0000 0.0000 0.3709
```

---

Entry 3:
Computed, not measured: a relaxed structure of BeTe2Au at the GGA-PBEsol level of DFT.

Computed properties:
Mass density (Mg/m³): 8.19
Energy (Ry per atom): -0.2618

Structure (CIF):
```
data_BeTe2Au
_chemical_formula_sum 'Be1 Te2 Au1'
_space_group_name_H-M_alt 'P 4 m m'
_space_group_IT_number 99
_cell_length_a 3.7118
_cell_length_b 3.7118
_cell_length_c 6.7841
_cell_angle_alpha 90.00
_cell_angle_beta 90.00
_cell_angle_gamma 90.00
loop_
_space_group_symop_operation_xyz
'x,y,z'
'-y,x,z'
'-x,-y,z'
'y,-x,z'
'-x,y,z'
'y,x,z'
'x,-y,z'
'-y,-x,z'
loop_
_atom_site_label
_atom_site_type_symbol
_atom_site_fract_x
_atom_site_fract_y
_atom_site_fract_z
Be1 Be 0.0000 0.0000 0.0000
Te1 Te 0.0000 0.0000 0.6256
Te2 Te 0.5000 0.5000 0.1546
Au1 Au 0.5000 0.5000 0.7557
```

---

- What is the formula in the first record?
  BeTe2Au

---

- Which formula does entry 3 have?
  BeTe2Au

---

- Which value of mass density does entry 3 give?
  8.19 Mg/m³